(1)
# Th2Be3NiGe4 | Alexandria | PBE-GGA | optimized geometry
# ΔE_f (eV per atom): -0.45
# Total DFT energy (no corrections) (eV/atom): -5.473
# M_tot (μB per cell): 0.00
data_Th2Be3NiGe4
_cell_length_a 4.199
_cell_length_b 4.199
_cell_length_c 9.366
_cell_angle_alpha 90.00
_cell_angle_beta 90.00
_cell_angle_gamma 90.00
_space_group_name_H-M_alt 'P -4 m 2'
_space_group_IT_number 115
_space_group_name_Hall 'P -4 -2'
loop_
_atom_site_label
_atom_site_fract_x
_atom_site_fract_y
_atom_site_fract_z
Th1 0.000 0.500 0.244
Be1 0.000 0.000 0.000
Be2 0.000 0.500 0.623
Ni1 0.500 0.500 0.000
Ge1 0.000 0.000 0.500
Ge2 0.000 0.500 0.869
Ge3 0.500 0.500 0.500


(2)
# Zr2Hg2Br7 | Alexandria | PBE-GGA | optimized geometry
# Total DFT energy (no corrections) (eV/atom): -3.682
# M_tot (μB per cell): 2.05
data_Zr2Hg2Br7
_cell_length_a 8.327
_cell_length_b 12.353
_cell_length_c 10.691
_cell_angle_alpha 90.00
_cell_angle_beta 96.37
_cell_angle_gamma 90.00
_space_group_name_H-M_alt 'C 1 2/m 1'
_space_group_IT_number 12
_space_group_name_Hall '-C 2y'
loop_
_atom_site_label
_atom_site_fract_x
_atom_site_fract_y
_atom_site_fract_z
Zr1 0.198 0.000 0.081
Hg1 0.000 0.153 0.500
Br1 0.000 0.500 0.000
Br2 0.098 0.000 0.837
Br3 0.239 0.324 0.807


(3)
# FeAsPC | Alexandria | PBE-GGA | optimized geometry
# ΔE_f (eV per atom): 0.44
# Energy above the most stable polymorph in this dataset (eV/atom): 0.260
# Total DFT energy (no corrections) (eV/atom): -6.493
# M_tot (μB per cell): 0.00
data_FeAsPC
_cell_length_a 7.279
_cell_length_b 2.646
_cell_length_c 6.459
_cell_angle_alpha 90.00
_cell_angle_beta 117.02
_cell_angle_gamma 90.00
_space_group_name_H-M_alt 'C 1 m 1'
_space_group_IT_number 8
_space_group_name_Hall 'C -2y'
loop_
_atom_site_label
_atom_site_fract_x
_atom_site_fract_y
_atom_site_fract_z
Fe1 0.000 0.000 0.000
As1 0.339 0.000 0.387
P1 0.152 0.500 0.818
C1 0.439 0.000 0.156


(4)
# PmSmHg5 | Alexandria | PBE-GGA | optimized geometry
# ΔE_f (eV per atom): -0.29
# Total DFT energy (no corrections) (eV/atom): -1.855
# M_tot (μB per cell): 0.00
data_PmSmHg5
_cell_length_a 5.172
_cell_length_b 5.172
_cell_length_c 7.144
_cell_angle_alpha 90.00
_cell_angle_beta 90.00
_cell_angle_gamma 90.00
_space_group_name_H-M_alt 'P 4/m m m'
_space_group_IT_number 123
_space_group_name_Hall '-P 4 2'
loop_
_atom_site_label
_atom_site_fract_x
_atom_site_fract_y
_atom_site_fract_z
Pm1 0.000 0.000 0.000
Sm1 0.500 0.500 0.500
Hg1 0.000 0.500 0.267
Hg2 0.500 0.500 0.000


(5)
# Dy3ErAl4 | Alexandria | PBE-GGA | optimized geometry
# ΔE_f (eV per atom): -0.40
# Total DFT energy (no corrections) (eV/atom): -4.564
# M_tot (μB per cell): 0.00
data_Dy3ErAl4
_cell_length_a 3.588
_cell_length_b 3.588
_cell_length_c 14.357
_cell_angle_alpha 90.00
_cell_angle_beta 90.00
_cell_angle_gamma 90.00
_space_group_name_H-M_alt 'P 4/m m m'
_space_group_IT_number 123
_space_group_name_Hall '-P 4 2'
loop_
_atom_site_label
_atom_site_fract_x
_atom_site_fract_y
_atom_site_fract_z
Dy1 0.000 0.000 0.000
Dy2 0.000 0.000 0.251
Er1 0.000 0.000 0.500
Al1 0.500 0.500 0.126
Al2 0.500 0.500 0.377


(6)
# AcNbGa2 | Alexandria | PBE-GGA | optimized geometry
# ΔE_f (eV per atom): -0.16
# Energy above the most stable polymorph in this dataset (eV/atom): 0.060
# Total DFT energy (no corrections) (eV/atom): -5.216
# M_tot (μB per cell): 0.00
data_AcNbGa2
_cell_length_a 4.4610
_cell_length_b 4.4610
_cell_length_c 17.3173
_cell_angle_alpha 90.00
_cell_angle_beta 90.00
_cell_angle_gamma 120.00
_space_group_name_H-M_alt 'R -3 m'
_space_group_IT_number 166
_space_group_name_Hall '-R 3 2"'
loop_
_atom_site_label
_atom_site_fract_x
_atom_site_fract_y
_atom_site_fract_z
Ac1 0.0000 0.0000 0.0000
Nb1 0.0000 0.0000 0.5000
Ga1 0.0000 0.0000 0.2153


(7)
# Cs4UPa3S12 | Alexandria | PBE-GGA | optimized geometry
# Total DFT energy (no corrections) (eV/atom): -6.170
# M_tot (μB per cell): 2.12
data_Cs4UPa3S12
_cell_length_a 10.591
_cell_length_b 10.591
_cell_length_c 10.591
_cell_angle_alpha 90.00
_cell_angle_beta 90.00
_cell_angle_gamma 90.00
_space_group_name_H-M_alt 'I m -3 m'
_space_group_IT_number 229
_space_group_name_Hall '-I 4 2 3'
loop_
_atom_site_label
_atom_site_fract_x
_atom_site_fract_y
_atom_site_fract_z
Cs1 0.250 0.250 0.250
U1 0.000 0.000 0.000
Pa1 0.000 0.000 0.500
S1 0.000 0.000 0.249
S2 0.000 0.250 0.500


(8)
# TlRuS3 | Alexandria | PBE-GGA | optimized geometry
# Energy above the most stable polymorph in this dataset (eV/atom): 0.000
# Total DFT energy (no corrections) (eV/atom): -4.642
# M_tot (μB per cell): 0.01
data_TlRuS3
_cell_length_a 4.716
_cell_length_b 4.716
_cell_length_c 4.716
_cell_angle_alpha 90.00
_cell_angle_beta 90.00
_cell_angle_gamma 90.00
_space_group_name_H-M_alt 'P m -3 m'
_space_group_IT_number 221
_space_group_name_Hall '-P 4 2 3'
loop_
_atom_site_label
_atom_site_fract_x
_atom_site_fract_y
_atom_site_fract_z
Tl1 0.000 0.000 0.000
Ru1 0.500 0.500 0.500
S1 0.000 0.500 0.500


(9)
# MgCr2Pt | Alexandria | PBE-GGA | optimized geometry
# ΔE_f (eV per atom): 0.28
# Total DFT energy (no corrections) (eV/atom): -6.445
# M_tot (μB per cell): 0.00
data_MgCr2Pt
_cell_length_a 2.634
_cell_length_b 2.634
_cell_length_c 8.302
_cell_angle_alpha 90.00
_cell_angle_beta 90.00
_cell_angle_gamma 90.00
_space_group_name_H-M_alt 'P 4/m m m'
_space_group_IT_number 123
_space_group_name_Hall '-P 4 2'
loop_
_atom_site_label
_atom_site_fract_x
_atom_site_fract_y
_atom_site_fract_z
Mg1 0.000 0.000 0.000
Cr1 0.500 0.500 0.264
Pt1 0.000 0.000 0.500


(10)
# CdHgAs | Alexandria | PBE-GGA | optimized geometry
# ΔE_f (eV per atom): 0.20
# Energy above the most stable polymorph in this dataset (eV/atom): 0.085
# Total DFT energy (no corrections) (eV/atom): -1.751
# M_tot (μB per cell): 0.00
data_CdHgAs
_cell_length_a 4.076
_cell_length_b 4.638
_cell_length_c 14.467
_cell_angle_alpha 90.00
_cell_angle_beta 90.00
_cell_angle_gamma 90.00
_space_group_name_H-M_alt 'F m m 2'
_space_group_IT_number 42
_space_group_name_Hall 'F 2 -2'
loop_
_atom_site_label
_atom_site_fract_x
_atom_site_fract_y
_atom_site_fract_z
Cd1 0.000 0.000 0.000
Hg1 0.000 0.000 0.332
As1 0.000 0.000 0.649


(11)
# PuCrCoTc | Alexandria | PBE-GGA | optimized geometry
# ΔE_f (eV per atom): 0.23
# Total DFT energy (no corrections) (eV/atom): -10.125
# M_tot (μB per cell): 27.96
data_PuCrCoTc
_cell_length_a 6.287
_cell_length_b 6.287
_cell_length_c 6.287
_cell_angle_alpha 90.00
_cell_angle_beta 90.00
_cell_angle_gamma 90.00
_space_group_name_H-M_alt 'F -4 3 m'
_space_group_IT_number 216
_space_group_name_Hall 'F -4 2 3'
loop_
_atom_site_label
_atom_site_fract_x
_atom_site_fract_y
_atom_site_fract_z
Pu1 0.000 0.000 0.000
Cr1 0.000 0.000 0.500
Co1 0.250 0.250 0.750
Tc1 0.250 0.250 0.250


(12)
# TlV3Ga | Alexandria | PBE-GGA | optimized geometry
# ΔE_f (eV per atom): 0.97
# Energy above the most stable polymorph in this dataset (eV/atom): 0.000
# Total DFT energy (no corrections) (eV/atom): -5.576
# M_tot (μB per cell): 3.92
data_TlV3Ga
_cell_length_a 4.593
_cell_length_b 4.593
_cell_length_c 4.593
_cell_angle_alpha 90.00
_cell_angle_beta 90.00
_cell_angle_gamma 90.00
_space_group_name_H-M_alt 'P m -3 m'
_space_group_IT_number 221
_space_group_name_Hall '-P 4 2 3'
loop_
_atom_site_label
_atom_site_fract_x
_atom_site_fract_y
_atom_site_fract_z
Tl1 0.000 0.000 0.000
V1 0.000 0.500 0.500
Ga1 0.500 0.500 0.500